Computed, not measured: an optimized crystal structure of SiNiAgF6 at the PBE with a Hubbard U level of DFT.

Unit cell a=5.3099 b=5.3099 c=10.7792 alpha=90.00 beta=90.00 gamma=120.00
Closest atoms and distances in Å follow each position.
Space group P-31c (No. 163)
Unique sites:
Si  0.3333  0.6667  0.2500 [2 per cell]  6 F 1.73
Ni  0.3333  0.6667  0.7500 [2 per cell]  6 F 2.15
Ag  0.0000  0.0000  0.0000 [2 per cell]  6 F 2.65
F  0.0578  0.4071  0.1586 [12 per cell]  1 Si 1.73

## Properties
Its total energy is -82.38 eV for the cell shown.